Density functional theory data (PBE-GGA) for a geometry-optimized CsGaMo2H structure. Values from VASP.

The structure in Quantum ESPRESSO input format:
```
&SYSTEM
  ibrav = 0, nat = 5, ntyp = 4
/
ATOMIC_SPECIES
Cs 132.91 Cs.upf
Ga 69.72 Ga.upf
Mo 95.94 Mo.upf
H 1.01 H.upf
ATOMIC_POSITIONS crystal
Cs 0.000 0.000 0.000
Ga 0.500 0.500 0.500
Mo 0.000 0.500 0.000
Mo 0.500 0.000 0.000
H 0.000 0.000 0.500
CELL_PARAMETERS angstrom
5.101 0.000 0.000
0.000 5.101 0.000
0.000 0.000 3.523
```

Output
The total magnetization is 0.00 μB/atom. As for the final energy: -16.79 eV for the cell shown. The crystal system is tetragonal.